Here is MnZn2Tc after structural relaxation from Alexandria. Energies are from PBE.

It has space group C2/m (No. 12), with a = 8.931 Å, b = 2.614 Å, c = 4.858 Å, α = 90.00°, β = 98.00° and γ = 90.00°. The inequivalent atoms are Mn at (0.000, 0.000, 0.000), Zn at (0.249, 0.500, 0.250) and Tc at (0.000, 0.500, 0.500).

As for the relative energy among the computed polymorphs: 2.299 kcal/mol of atoms. The value obtained for the formation energy is 0.11 eV/atom. The value obtained for the total magnetic moment is 0.767 μB/atom.